No. 1
Pm4Sb2N GGA-PBE relaxed; offset from the most stable computed form = 0.0337 eV per atom; density = 6.94 g cm⁻³; E_form (uncorrected) = -1.026 eV per atom
1.0
6.8697 0.0000 0.0000
0.0000 6.7885 0.0000
-2.9331 0.0000 8.5981
Pm Sb N
8 4 2
Cartesian
-0.7700 0.0183 2.4270
-0.7700 3.3760 2.4270
2.3213 1.6971 0.4793
1.0332 1.6971 5.5765
2.9035 5.0914 3.0216
1.6153 5.0914 8.1188
4.7067 3.4125 6.1711
4.7067 6.7702 6.1711
1.3102 5.0914 0.3346
0.3544 5.0914 5.0033
3.5823 1.6971 3.5948
2.6265 1.6971 8.2635
-0.8963 1.6971 6.8355
4.8330 5.0914 1.7626

No. 2
Pm4SbSe2N GGA-PBE relaxed; density = 6.79 g cm⁻³; E_form (uncorrected) = -1.500 eV per atom
1.0
2.0749 -6.9906 0.0000
2.0749 6.9906 0.0000
0.0000 0.0000 14.7312
Pm Sb Se N
8 2 4 2
Cartesian
0.0000 0.0000 0.0000
0.0000 0.0000 7.3656
2.0749 3.2201 9.2985
2.0749 3.2201 12.7983
2.0749 1.1340 3.6828
2.0749 -1.1340 11.0484
2.0749 -3.2201 1.9329
2.0749 -3.2201 5.4327
2.0749 5.6003 3.6828
2.0749 -5.6003 11.0484
2.0749 1.9203 0.8162
2.0749 1.9203 6.5494
2.0749 -1.9203 8.1818
2.0749 -1.9203 13.9150
2.0749 4.6427 11.0484
2.0749 -4.6427 3.6828

No. 3
Pm3SbSeN GGA-PBE relaxed; density = 6.26 g cm⁻³; E_form (uncorrected) = -1.392 eV per atom
1.0
8.8772 0.0000 0.0000
0.0000 4.2119 0.0000
-1.6067 0.0000 9.2198
Pm Sb Se N
6 2 2 2
Cartesian
0.2482 1.0530 3.1896
1.4450 1.0530 9.1213
2.4511 3.1590 6.0835
4.8195 1.0530 3.1362
5.8255 3.1590 0.0984
7.0224 3.1590 6.0302
2.4441 3.1590 2.6720
4.8264 1.0530 6.5477
0.2633 1.0530 6.0969
7.0072 3.1590 3.1229
2.1774 3.1590 8.3055
5.0932 1.0530 0.9143